(1)
Density functional theory data (PBE-GGA) for a relaxed structure of Y2HoTm12.

Values from the calculation:
- Energy of formation: 0.119 eV/atom
- DOS(E_F): 50.37 states/eV per cell
- Calculated density: 8.5 Mg/m³

Cell: 6.529 6.529 23.968 Å, 92.28 92.28 114.50°
Atoms (fractional coordinates):
Y1 0.067 0.067 0.271
Y2 0.433 0.433 0.728
Y3 0.567 0.567 0.272
Y4 0.933 0.933 0.729
Ho1 0.250 0.250 0.001
Ho2 0.750 0.750 0.999
Tm1 0.048 0.550 0.201
Tm2 0.082 0.582 0.331
Tm3 0.138 0.639 0.554
Tm4 0.144 0.144 0.573
Tm5 0.217 0.217 0.864
Tm6 0.232 0.732 0.925
Tm7 0.268 0.768 0.075
Tm8 0.284 0.284 0.138
Tm9 0.357 0.357 0.426
Tm10 0.361 0.862 0.446
Tm11 0.418 0.918 0.669
Tm12 0.450 0.952 0.799
Tm13 0.550 0.048 0.201
Tm14 0.582 0.082 0.331
Tm15 0.639 0.138 0.554
Tm16 0.643 0.643 0.574
Tm17 0.716 0.716 0.862
Tm18 0.732 0.232 0.925
Tm19 0.768 0.268 0.075
Tm20 0.783 0.783 0.136
Tm21 0.856 0.856 0.427
Tm22 0.862 0.361 0.446
Tm23 0.918 0.418 0.669
Tm24 0.952 0.450 0.799

---

(2)
Density functional theory data (PBE-GGA) for a relaxed structure of AuIO2.

Values from the calculation:
- DOS(E_F): 1.35 states/eV per cell
- Calculated density: 9.1 Mg/m³
- Uncorrected formation energy: 0.4339 eV/atom

Cell: 7.513 7.513 7.513 Å, 24.64 24.64 24.64°
Atoms (fractional coordinates):
Au1 0.000 0.000 0.000
I1 0.500 0.500 0.500
O1 0.092 0.092 0.092
O2 0.908 0.908 0.908

---

(3)
Density functional theory data (PBE-GGA) for a relaxed structure of Sr2Si3PdAu4.

Values from the calculation:
- DOS(E_F): 4.45 states/eV per cell
- Calculated density: 9.2 Mg/m³
- Uncorrected formation energy: -0.4759 eV/atom

Cell: 4.435 4.435 10.567 Å, 90.00 90.00 90.00°
Atoms (fractional coordinates):
Sr1 0.000 0.500 0.246
Sr2 0.500 0.000 0.754
Si1 0.000 0.000 0.000
Si2 0.000 0.500 0.625
Si3 0.500 0.000 0.375
Pd1 0.500 0.500 0.000
Au1 0.000 0.000 0.500
Au2 0.000 0.500 0.855
Au3 0.500 0.000 0.145
Au4 0.500 0.500 0.500

---

(4)
Density functional theory data (PBE-GGA) for a relaxed structure of TbAl3Ag3.

Values from the calculation:
- Energy of formation: 0.300 eV/atom
- DOS(E_F): 8.23 states/eV per cell
- Calculated density: 5.5 Mg/m³
- Offset from the most stable computed form: 0.393 eV per atom

Cell: 6.968 6.968 6.968 Å, 90.00 90.00 90.00°
Atoms (fractional coordinates):
Tb1 0.000 0.000 0.000
Tb2 0.500 0.500 0.500
Al1 0.000 0.250 0.500
Al2 0.000 0.750 0.500
Al3 0.250 0.500 0.000
Al4 0.500 0.000 0.250
Al5 0.500 0.000 0.750
Al6 0.750 0.500 0.000
Ag1 0.000 0.500 0.250
Ag2 0.000 0.500 0.750
Ag3 0.250 0.000 0.500
Ag4 0.500 0.250 0.000
Ag5 0.500 0.750 0.000
Ag6 0.750 0.000 0.500

---

(5)
Density functional theory data (PBE-GGA) for a relaxed structure of Ga2ReNF.

Values from the calculation:
- DOS(E_F): 1.99 states/eV per cell
- Calculated density: 6.4 Mg/m³
- Uncorrected formation energy: -0.1950 eV/atom

Cell: 4.957 4.957 3.781 Å, 90.00 90.00 90.00°
Atoms (fractional coordinates):
Ga1 0.000 0.500 0.000
Ga2 0.500 0.000 0.000
Re1 0.000 0.000 0.000
N1 0.000 0.000 0.500
F1 0.500 0.500 0.500

---

(6)
Density functional theory data (PBE-GGA) for a relaxed structure of K6SnAu.

Values from the calculation:
- Energy of formation: -0.122 eV/atom
- DOS(E_F): 4.83 states/eV per cell
- Calculated density: 2.0 Mg/m³

Cell: 4.818 9.668 9.668 Å, 86.27 90.00 90.00°
Atoms (fractional coordinates):
K1 0.000 0.000 0.000
K2 0.000 0.544 0.848
K3 0.000 0.848 0.544
K4 0.500 0.233 0.680
K5 0.500 0.271 0.271
K6 0.500 0.680 0.233
Sn1 0.000 0.477 0.477
Au1 0.500 0.566 0.566

---

(7)
Density functional theory data (PBE-GGA) for a relaxed structure of BaNi.

Values from the calculation:
- Energy of formation: 0.442 eV/atom
- DOS(E_F): 1.94 states/eV per cell
- Calculated density: 6.1 Mg/m³

Cell: 5.109 5.109 5.109 Å, 66.08 66.08 66.08°
Atoms (fractional coordinates):
Ba1 0.144 0.144 0.144
Ba2 0.856 0.856 0.856
Ni1 0.402 0.402 0.402
Ni2 0.598 0.598 0.598

---

(8)
Density functional theory data (PBE-GGA) for a relaxed structure of Th2MnP3Rh4.

Values from the calculation:
- Energy of formation: -0.991 eV/atom
- DOS(E_F): 5.66 states/eV per cell
- Calculated density: 10.0 Mg/m³

Cell: 4.076 4.076 10.234 Å, 90.00 90.00 90.00°
Atoms (fractional coordinates):
Th1 0.000 0.500 0.247
Th2 0.500 0.000 0.753
Mn1 0.000 0.000 0.500
P1 0.000 0.500 0.865
P2 0.500 0.000 0.135
P3 0.500 0.500 0.500
Rh1 0.000 0.000 0.000
Rh2 0.000 0.500 0.636
Rh3 0.500 0.000 0.364
Rh4 0.500 0.500 0.000

---

(9)
Density functional theory data (PBE-GGA) for a relaxed structure of K4N2F5.

Values from the calculation:
- DOS(E_F): 11.71 states/eV per cell
- Calculated density: 1.7 Mg/m³
- Uncorrected formation energy: -1.8900 eV/atom

Cell: 8.463 8.463 9.130 Å, 112.96 112.96 27.21°
Atoms (fractional coordinates):
K1 0.007 0.007 0.315
K2 0.289 0.289 0.857
K3 0.711 0.711 0.143
K4 0.993 0.993 0.685
N1 0.499 0.499 0.938
N2 0.501 0.501 0.062
F1 0.148 0.148 0.250
F2 0.148 0.148 0.928
F3 0.500 0.500 0.500
F4 0.852 0.852 0.072
F5 0.852 0.852 0.750

---

(10)
Density functional theory data (PBE-GGA) for a relaxed structure of LiAsPt3.

Values from the calculation:
- Energy of formation: -0.384 eV/atom
- DOS(E_F): 1.84 states/eV per cell
- Calculated density: 12.4 Mg/m³
- Offset from the most stable computed form: 0.000 eV per atom

Cell: 5.593 5.584 6.348 Å, 90.00 116.14 90.00°
Atoms (fractional coordinates):
Li1 0.245 0.250 0.489
Li2 0.755 0.750 0.511
As1 0.124 0.750 0.247
As2 0.876 0.250 0.753
Pt1 0.261 0.000 0.000
Pt2 0.261 0.500 0.000
Pt3 0.324 0.750 0.648
Pt4 0.676 0.250 0.352
Pt5 0.739 0.000 0.000
Pt6 0.739 0.500 0.000

---

(11)
Density functional theory data (PBE-GGA) for a relaxed structure of Er2Pa2Se5.

Values from the calculation:
- DOS(E_F): 9.28 states/eV per cell
- Calculated density: 7.4 Mg/m³
- Uncorrected formation energy: -1.2234 eV/atom

Cell: 4.014 4.014 19.286 Å, 90.00 90.00 120.00°
Atoms (fractional coordinates):
Er1 0.333 0.667 0.087
Er2 0.667 0.333 0.913
Pa1 0.333 0.667 0.681
Pa2 0.667 0.333 0.319
Se1 0.000 0.000 0.000
Se2 0.333 0.667 0.403
Se3 0.333 0.667 0.831
Se4 0.667 0.333 0.169
Se5 0.667 0.333 0.597

---

(12)
Density functional theory data (PBE-GGA) for a relaxed structure of Tb3CuGeS7.

Values from the calculation:
- DOS(E_F): 0.00 states/eV per cell
- Calculated density: 5.6 Mg/m³
- Uncorrected formation energy: -1.4462 eV/atom

Cell: 9.908 9.908 5.845 Å, 90.00 90.00 120.00°
Atoms (fractional coordinates):
Tb1 0.133 0.776 0.000
Tb2 0.224 0.357 0.000
Tb3 0.357 0.133 0.500
Tb4 0.643 0.867 0.000
Tb5 0.776 0.643 0.500
Tb6 0.867 0.224 0.500
Cu1 0.000 0.000 0.442
Cu2 0.000 0.000 0.942
Ge1 0.333 0.667 0.582
Ge2 0.667 0.333 0.082
S1 0.098 0.520 0.743
S2 0.099 0.841 0.461
S3 0.159 0.259 0.461
S4 0.259 0.099 0.961
S5 0.333 0.667 0.204
S6 0.421 0.902 0.743
S7 0.480 0.579 0.743
S8 0.520 0.421 0.243
S9 0.579 0.098 0.243
S10 0.667 0.333 0.704
S11 0.741 0.901 0.461
S12 0.841 0.741 0.961
S13 0.901 0.159 0.961
S14 0.902 0.480 0.243

---

(13)
Density functional theory data (PBE-GGA) for a relaxed structure of CdTcBiH2.

Values from the calculation:
- DOS(E_F): 3.34 states/eV per cell
- Calculated density: 7.9 Mg/m³

Cell: 4.018 4.018 5.471 Å, 90.00 90.00 90.00°
Atoms (fractional coordinates):
Cd1 0.000 0.000 0.000
Tc1 0.500 0.500 0.500
Bi1 0.500 0.500 0.000
H1 0.000 0.500 0.500
H2 0.500 0.000 0.500

---

(14)
Density functional theory data (PBE-GGA) for a relaxed structure of CrBSbCl2.

Values from the calculation:
- DOS(E_F): 2.56 states/eV per cell
- Calculated density: 3.6 Mg/m³
- Uncorrected formation energy: 0.6132 eV/atom

Cell: 4.494 4.494 5.824 Å, 90.00 90.00 90.00°
Atoms (fractional coordinates):
Cr1 0.000 0.000 0.000
B1 0.500 0.500 0.500
Sb1 0.000 0.000 0.500
Cl1 0.000 0.500 0.000
Cl2 0.500 0.000 0.000

---

(15)
Density functional theory data (PBE-GGA) for a relaxed structure of SiNiPb2.

Values from the calculation:
- DOS(E_F): 1.79 states/eV per cell
- Calculated density: 9.6 Mg/m³
- Offset from the most stable computed form: 0.571 eV per atom
- Uncorrected formation energy: 0.5038 eV/atom

Cell: 4.790 4.790 3.770 Å, 90.00 90.00 90.00°
Atoms (fractional coordinates):
Si1 0.000 0.000 0.000
Ni1 0.500 0.500 0.000
Pb1 0.000 0.500 0.500
Pb2 0.500 0.000 0.500

---

(16)
Density functional theory data (PBE-GGA) for a relaxed structure of Ac2DyTc.

Values from the calculation:
- Energy of formation: 0.823 eV/atom
- DOS(E_F): 4.50 states/eV per cell
- Calculated density: 9.0 Mg/m³

Cell: 11.597 11.597 11.597 Å, 18.09 18.09 18.09°
Atoms (fractional coordinates):
Ac1 0.077 0.077 0.077
Ac2 0.923 0.923 0.923
Dy1 0.500 0.500 0.500
Tc1 0.000 0.000 0.000

---

(17)
Density functional theory data (PBE-GGA) for a relaxed structure of Zn2CuRu.

Values from the calculation:
- Energy of formation: -0.010 eV/atom
- DOS(E_F): 2.73 states/eV per cell
- Calculated density: 9.1 Mg/m³

Cell: 3.065 3.065 5.734 Å, 90.00 90.00 90.00°
Atoms (fractional coordinates):
Zn1 0.000 0.000 0.247
Zn2 0.000 0.000 0.753
Cu1 0.500 0.500 0.000
Ru1 0.500 0.500 0.500

---

(18)
Density functional theory data (PBE-GGA) for a relaxed structure of TeRu2Br.

Values from the calculation:
- DOS(E_F): 4.56 states/eV per cell
- Calculated density: 9.3 Mg/m³
- Offset from the most stable computed form: 0.136 eV per atom
- Uncorrected formation energy: 0.5124 eV/atom

Cell: 8.134 8.134 8.134 Å, 23.23 23.23 23.23°
Atoms (fractional coordinates):
Te1 0.000 0.000 0.000
Ru1 0.255 0.255 0.255
Ru2 0.745 0.745 0.745
Br1 0.500 0.500 0.500

---

(19)
Density functional theory data (PBE-GGA) for a relaxed structure of Rb2PbCl6.

Values from the calculation:
- Calculated density: 3.3 Mg/m³
- Uncorrected formation energy: -1.3025 eV/atom

Cell: 7.518 7.591 12.889 Å, 90.00 125.10 90.00°
Atoms (fractional coordinates):
Rb1 0.238 0.043 0.248
Rb2 0.238 0.457 0.748
Rb3 0.762 0.543 0.252
Rb4 0.762 0.957 0.752
Pb1 0.500 0.000 0.000
Pb2 0.500 0.500 0.500
Cl1 0.201 0.204 0.972
Cl2 0.201 0.296 0.472
Cl3 0.274 0.729 0.977
Cl4 0.274 0.771 0.477
Cl5 0.311 0.002 0.759
Cl6 0.311 0.498 0.259
Cl7 0.689 0.502 0.741
Cl8 0.689 0.998 0.241
Cl9 0.726 0.229 0.523
Cl10 0.726 0.271 0.023
Cl11 0.799 0.704 0.528
Cl12 0.799 0.796 0.028

---

(20)
Density functional theory data (PBE-GGA) for a relaxed structure of Pd7Pt2.

Values from the calculation:
- Energy of formation: -0.018 eV/atom
- DOS(E_F): 20.49 states/eV per cell
- Calculated density: 13.6 Mg/m³
- Offset from the most stable computed form: 0.000 eV per atom

Cell: 4.834 4.834 6.846 Å, 90.00 90.00 120.00°
Atoms (fractional coordinates):
Pd1 0.000 0.000 0.000
Pd2 0.000 0.334 0.666
Pd3 0.000 0.666 0.334
Pd4 0.334 0.000 0.666
Pd5 0.334 0.334 0.334
Pd6 0.666 0.000 0.334
Pd7 0.666 0.666 0.666
Pt1 0.333 0.667 0.000
Pt2 0.667 0.333 0.000

---

(21)
Density functional theory data (PBE-GGA) for a relaxed structure of CeTiAl4.

Values from the calculation:
- Energy of formation: -0.290 eV/atom
- DOS(E_F): 7.56 states/eV per cell
- Calculated density: 4.4 Mg/m³

Cell: 5.420 5.420 5.420 Å, 60.00 60.00 60.00°
Atoms (fractional coordinates):
Ce1 0.000 0.000 0.000
Ti1 0.250 0.250 0.250
Al1 0.126 0.625 0.625
Al2 0.625 0.126 0.625
Al3 0.625 0.625 0.126
Al4 0.625 0.625 0.625

---

(22)
Density functional theory data (PBE-GGA) for a relaxed structure of Mn2GaI6.

Values from the calculation:
- DOS(E_F): 1.61 states/eV per cell
- Calculated density: 3.7 Mg/m³
- Uncorrected formation energy: -0.3840 eV/atom

Cell: 11.267 11.267 7.359 Å, 107.28 107.28 89.71°
Atoms (fractional coordinates):
Mn1 0.148 0.304 0.366
Mn2 0.304 0.148 0.866
Mn3 0.696 0.852 0.134
Mn4 0.852 0.696 0.634
Ga1 0.281 0.719 0.750
Ga2 0.719 0.281 0.250
I1 0.079 0.703 0.893
I2 0.117 0.273 0.702
I3 0.273 0.117 0.202
I4 0.279 0.515 0.416
I5 0.297 0.921 0.607
I6 0.485 0.721 0.084
I7 0.515 0.279 0.916
I8 0.703 0.079 0.393
I9 0.721 0.485 0.584
I10 0.727 0.883 0.798
I11 0.883 0.727 0.298
I12 0.921 0.297 0.107

---

For reference, M_tot by record: 0.00; 0.00; 0.00; 0.00; 0.00; 0.00; 0.00; 3.19; 1.09; 0.00; 4.71; 0.00; 1.74; 2.97; 0.00; 0.00; 0.00; 0.00; 0.00; 0.00; 0.87; 17.95 μB/cell.
For reference, final energy by record: -0.3399; -0.2390; -0.3138; -0.2343; -0.4362; -0.1364; -0.2506; -0.5847; -0.3420; -0.3911; -0.4618; -0.4217; -0.2713; -0.3094; -0.3051; -0.3655; -0.2933; -0.3917; -0.2323; -0.3968; -0.3741; -0.2787 Ry/atom.
For reference, volume by record: 30.9; 16.2; 20.8; 24.2; 18.6; 56.2; 26.7; 17.0; 24.9; 17.8; 29.9; 20.7; 17.7; 23.5; 21.6; 32.8; 13.5; 18.4; 33.4; 15.4; 18.8; 47.1 Å³ per atom.